VASP calculation (GGA-PBE) on a relaxed structure of AcCeDy.

DFT total energy ... -4.76 eV per atom
Calculated formation energy ... 0.124 eV per atom
ρ ... 8.39 g/cm³

Cell: 3.699 3.699 15.319 Å, 90.00 90.00 90.00°
Space group I4mm (No. 107)
Symmetry-distinct sites (fractional):
Ac: 0.000 0.000 0.000 x2
Ce: 0.000 0.000 0.332 x2
Dy: 0.000 0.000 0.680 x2

=====

VASP calculation (GGA-PBE) on a relaxed structure of Tb5ThCd4.

DFT total energy ... -3.68 eV per atom
Calculated formation energy ... -0.252 eV per atom
ρ ... 8.89 g/cm³

Cell: 3.723 3.723 19.884 Å, 90.00 90.00 90.00°
Space group P4/mmm (No. 123)
Symmetry-distinct sites (fractional):
Tb: 0.000 0.000 0.000 x1
Tb: 0.000 0.000 0.189 x2
Tb: 0.000 0.000 0.383 x2
Th: 0.500 0.500 0.500 x1
Cd: 0.500 0.500 0.095 x2
Cd: 0.500 0.500 0.286 x2

=====

VASP calculation (GGA-PBE) on a relaxed structure of PrThSN.

DFT total energy ... -7.87 eV per atom
Uncorrected formation energy ... -1.7103 eV/atom
ρ ... 8.39 g/cm³

Cell: 3.8125 3.8125 19.7743 Å, 90.00 90.00 120.00°
Space group R3m (No. 160, hexagonal axes)
Symmetry-distinct sites (fractional):
Pr: 0.0000 0.0000 0.0000 x3
Th: 0.0000 0.0000 0.5271 x3
S: 0.0000 0.0000 0.7648 x3
N: 0.0000 0.0000 0.2536 x3

=====

VASP calculation (GGA-PBE) on a relaxed structure of Hf3Mg12Sc5.

DFT total energy ... -3.07 eV per atom
Calculated formation energy ... 0.965 eV per atom
ρ ... 2.79 g/cm³

Cell: 17.119 17.119 17.119 Å, 90.00 90.00 90.00°
Space group Ia-3d (No. 230)
Symmetry-distinct sites (fractional):
Hf: 0.000 0.250 0.125 x24
Mg: 0.003 0.079 0.652 x96
Sc: 0.000 0.000 0.000 x16
Sc: 0.000 0.250 0.375 x24

=====

VASP calculation (GGA-PBE) on a relaxed structure of AcPr5Au6.

DFT total energy ... -4.72 eV per atom
Calculated formation energy ... -0.744 eV per atom
ρ ... 10.88 g/cm³

Cell: 5.359 7.491 8.448 Å, 90.00 108.03 90.00°
Space group P2/m (No. 10)
Symmetry-distinct sites (fractional):
Ac: 0.000 0.000 0.000 x1
Pr: 0.000 0.500 0.000 x1
Pr: 0.332 0.000 0.665 x2
Pr: 0.333 0.500 0.667 x2
Au: 0.171 0.254 0.342 x4
Au: 0.500 0.261 0.000 x2

=====

VASP calculation (GGA-PBE) on a relaxed structure of Pm5AlSe4.

DFT total energy ... -5.69 eV per atom
Uncorrected formation energy ... -1.5466 eV/atom
ρ ... 6.60 g/cm³

Cell: 9.492 9.492 5.969 Å, 90.00 90.00 90.00°
Space group I4/m (No. 87)
Symmetry-distinct sites (fractional):
Pm: 0.000 0.000 0.000 x2
Pm: 0.098 0.300 0.500 x8
Al: 0.000 0.000 0.500 x2
Se: 0.100 0.301 0.000 x8

=====

VASP calculation (GGA-PBE) on a relaxed structure of MgPaPbAu.

DFT total energy ... -4.65 eV per atom
Calculated formation energy ... -0.136 eV per atom
ρ ... 11.51 g/cm³

Cell: 7.246 7.246 7.246 Å, 90.00 90.00 90.00°
Space group F-43m (No. 216)
Symmetry-distinct sites (fractional):
Mg: 0.000 0.000 0.000 x4
Pa: 0.000 0.000 0.500 x4
Pb: 0.250 0.250 0.750 x4
Au: 0.250 0.250 0.250 x4

=====

VASP calculation (GGA-PBE) on a relaxed structure of TlReAu2.

DFT total energy ... -4.75 eV per atom
Calculated formation energy ... 0.589 eV per atom
ρ ... 17.56 g/cm³

Cell: 10.834 2.879 5.324 Å, 90.00 116.71 90.00°
Space group Cm (No. 8)
Symmetry-distinct sites (fractional):
Tl: 0.000 0.000 0.000 x2
Re: 0.248 0.500 0.065 x2
Au: 0.228 0.000 0.581 x2
Au: 0.470 0.000 0.480 x2

=====

VASP calculation (GGA-PBE) on a relaxed structure of Ac3InPb5.

DFT total energy ... -4.10 eV per atom
Calculated formation energy ... -0.368 eV per atom
ρ ... 10.01 g/cm³

Cell: 10.0480 10.0480 6.9539 Å, 90.00 90.00 120.00°
Space group P6_3/mcm (No. 193)
Symmetry-distinct sites (fractional):
Ac: 0.0000 0.3676 0.2500 x6
In: 0.0000 0.0000 0.0000 x2
Pb: 0.0000 0.2927 0.7500 x6
Pb: 0.3333 0.6667 0.0000 x4

=====

VASP calculation (GGA-PBE) on a relaxed structure of SrWCl3.

DFT total energy ... -4.42 eV per atom
Uncorrected formation energy ... -0.3809 eV/atom
ρ ... 5.19 g/cm³

Cell: 4.944 4.944 4.944 Å, 90.00 90.00 90.00°
Space group Pm-3m (No. 221)
Symmetry-distinct sites (fractional):
Sr: 0.000 0.000 0.000 x1
W: 0.500 0.500 0.500 x1
Cl: 0.000 0.500 0.500 x3

=====

VASP calculation (GGA-PBE) on a relaxed structure of Sc4InSi.

DFT total energy ... -5.38 eV per atom
Uncorrected formation energy ... 0.2017 eV/atom
ρ ... 3.97 g/cm³

Cell: 8.143 8.143 8.143 Å, 90.00 90.00 90.00°
Space group F-43m (No. 216)
Symmetry-distinct sites (fractional):
Sc: 0.125 0.125 0.125 x16
In: 0.000 0.000 0.500 x4
Si: 0.250 0.250 0.750 x4

=====

VASP calculation (GGA-PBE) on a relaxed structure of PrThCd14.

DFT total energy ... -1.67 eV per atom
Calculated formation energy ... -0.103 eV per atom
ρ ... 8.39 g/cm³

Cell: 6.765 6.765 8.420 Å, 90.00 90.00 90.00°
Space group P4/mmm (No. 123)
Symmetry-distinct sites (fractional):
Pr: 0.000 0.000 0.000 x1
Th: 0.500 0.500 0.000 x1
Cd: 0.000 0.000 0.500 x1
Cd: 0.000 0.500 0.000 x2
Cd: 0.000 0.500 0.500 x2
Cd: 0.249 0.249 0.265 x8
Cd: 0.500 0.500 0.500 x1

=====

- Among the records above, which one has the lowest ρ?
  Hf3Mg12Sc5

=====

- Number 7 is which compound?
  MgPaPbAu